Material: CsMn2InF
Method: DFT, GGA+U
State: relaxed

Its space-group type is P4/mmm (123). Its total energy is -0.2678 Ry/atom. As for the size of the total moment: 9.52 μB per formula unit.

The structure in POSCAR format:
```
CsMn2InF
1.0
6.5242 0.0000 0.0000
0.0000 5.0643 0.0000
0.0000 0.0000 6.5242
In Mn F Cs
1 2 1 1
Direct
0.5000 0.5000 0.5000 In
0.0000 0.0000 0.5000 Mn
0.5000 0.0000 0.0000 Mn
0.0000 0.5000 0.0000 F
0.0000 0.0000 0.0000 Cs
```